Record 1
Compound: RbGeTe
Source: Alexandria
Functional: PBE
Structure: relaxed

Lattice parameters (Å, degrees): 4.8519 4.8519 6.0563 90.00 90.00 90.00
Last column: nearest neighbours and their distance in Å.
Sites, in units of the cell vectors:
Rb (0.0000, 0.0000, 0.0000)  4 Te 3.72, 4 Ge 4.04
Ge (0.5000, 0.5000, 0.3515)  1 Te 2.49
Te (0.5000, 0.5000, 0.7631)  1 Ge 2.49

Output
size of the total moment	0.00	μB per formula unit
raw total energy	-2.9817	eV per atom
energy relative to the elements, uncorrected	-0.073	eV/atom

---

Record 2
Compound: Ce3Y2TmAs6
Source: Alexandria
Functional: PBE
Structure: relaxed

Lattice parameters (Å, degrees): 7.2135 7.2135 7.1946 99.62 99.62 120.00
Last column: nearest neighbours and their distance in Å.
Sites, in units of the cell vectors:
Ce (0.0000, 0.0000, 0.0000)  6 As 2.96-2.98
Ce (0.3327, 0.6673, 0.0000)  6 As 2.96-2.97
Ce (0.6673, 0.3327, 0.0000)  6 As 2.96-2.97
Y (0.1664, 0.8336, 0.5000)  6 As 2.93
Y (0.8336, 0.1664, 0.5000)  6 As 2.93
Tm (0.5000, 0.5000, 0.5000)  6 As 2.91
As (0.0876, 0.4186, 0.2555)  1 Tm 2.91, 2 Y 2.93, 3 Ce 2.96-2.97
As (0.2509, 0.2509, 0.7453)  1 Tm 2.91, 2 Y 2.93, 3 Ce 2.96-2.98
As (0.4186, 0.0876, 0.2555)  1 Tm 2.91, 2 Y 2.93, 3 Ce 2.96-2.97
As (0.5814, 0.9124, 0.7445)  1 Tm 2.91, 2 Y 2.93, 3 Ce 2.96-2.97
As (0.7491, 0.7491, 0.2547)  1 Tm 2.91, 2 Y 2.93, 3 Ce 2.96-2.98
As (0.9124, 0.5814, 0.7445)  1 Tm 2.91, 2 Y 2.93, 3 Ce 2.96-2.97

Output
size of the total moment	1.96	μB per formula unit
energy of formation from the pure elements	-17.79	eV per formula unit
raw total energy	-6.7407	eV per atom

---

Record 3
Compound: Tb2ZnNi
Source: Alexandria
Functional: PBE
Structure: relaxed

Lattice parameters (Å, degrees): 9.3801 9.3801 9.3801 24.14 24.14 24.14
Last column: nearest neighbours and their distance in Å.
Sites, in units of the cell vectors:
Tb (0.1139, 0.1139, 0.1139)  3 Ni 2.68
Tb (0.8861, 0.8861, 0.8861)  3 Ni 2.68
Zn (0.0000, 0.0000, 0.0000)  2 Tb 3.11
Ni (0.5000, 0.5000, 0.5000)  6 Tb 2.68

Output
size of the total moment	0.00	μB per formula unit
energy of formation from the pure elements	0.36	eV per formula unit
raw total energy	-3.9898	eV per atom

---

Question: Look up the size of the total moment of the second one.
Answer: 1.96 μB per formula unit

---

Question: Which of these has the lowest raw total energy?
Answer: Ce3Y2TmAs6

---

Question: Which of these has the lowest raw total energy?
Answer: Ce3Y2TmAs6

---

Please write out number 2 again, unchanged.
Compound: Ce3Y2TmAs6
Source: Alexandria
Functional: PBE
Structure: relaxed

Lattice parameters (Å, degrees): 7.2135 7.2135 7.1946 99.62 99.62 120.00
Last column: nearest neighbours and their distance in Å.
Sites, in units of the cell vectors:
Ce (0.0000, 0.0000, 0.0000)  6 As 2.96-2.98
Ce (0.3327, 0.6673, 0.0000)  6 As 2.96-2.97
Ce (0.6673, 0.3327, 0.0000)  6 As 2.96-2.97
Y (0.1664, 0.8336, 0.5000)  6 As 2.93
Y (0.8336, 0.1664, 0.5000)  6 As 2.93
Tm (0.5000, 0.5000, 0.5000)  6 As 2.91
As (0.0876, 0.4186, 0.2555)  1 Tm 2.91, 2 Y 2.93, 3 Ce 2.96-2.97
As (0.2509, 0.2509, 0.7453)  1 Tm 2.91, 2 Y 2.93, 3 Ce 2.96-2.98
As (0.4186, 0.0876, 0.2555)  1 Tm 2.91, 2 Y 2.93, 3 Ce 2.96-2.97
As (0.5814, 0.9124, 0.7445)  1 Tm 2.91, 2 Y 2.93, 3 Ce 2.96-2.97
As (0.7491, 0.7491, 0.2547)  1 Tm 2.91, 2 Y 2.93, 3 Ce 2.96-2.98
As (0.9124, 0.5814, 0.7445)  1 Tm 2.91, 2 Y 2.93, 3 Ce 2.96-2.97

Output
size of the total moment	1.96	μB per formula unit
energy of formation from the pure elements	-17.79	eV per formula unit
raw total energy	-6.7407	eV per atom